# 1
VASP calculation (PBE) on crystalline Nd2Sb2TeS at its relaxed geometry.

final energy = -5.423 eV/atom

Cell and atoms, written as POSCAR:
```
Nd2Sb2TeS
1.0
4.250 0.000 0.000
0.000 4.250 0.000
0.000 0.000 9.360
Nd S Sb Te
2 1 2 1
Direct
0.000 0.000 0.285
0.500 0.500 0.710
0.000 0.000 0.632
0.500 0.000 0.998
0.000 0.500 0.998
0.500 0.500 0.376
```



# 2
VASP calculation (PBE) on crystalline RbReAsO at its relaxed geometry.

final energy = -5.746 eV/atom

Cell and atoms, written as POSCAR:
```
RbReAsO
1.0
-2.820 -2.376 -0.645
2.416 -2.859 -0.030
-1.594 -1.477 12.413
As O Rb Re
2 2 2 2
Direct
0.000 0.500 0.360
0.500 0.000 0.640
0.000 0.000 0.000
0.500 0.500 0.000
0.500 0.000 0.152
0.000 0.500 0.848
0.000 0.000 0.500
0.500 0.500 0.500
```